No. 1
# CaPuTlCl6

Crystalline CaPuTlCl6 at its relaxed geometry (PBE-GGA, the Alexandria database).

Summary:
As for the energy relative to the elements, uncorrected: -1.889 eV per atom. The calculation puts the spin magnetization at 0.556 μB per atom. Its density is 3.76 g/cm3.

Cell: 7.246 7.246 13.632 Å, 90.00 90.00 120.00°
Element x y z (fractional)
Ca  0.333  0.667  0.250
Ca  0.667  0.333  0.750
Pu  0.667  0.333  0.250
Pu  0.333  0.667  0.750
Tl  0.000  0.000  0.000
Tl  0.000  0.000  0.500
Cl  0.633  0.630  0.140
Cl  0.998  0.367  0.140
Cl  0.367  0.998  0.640
Cl  0.002  0.633  0.860
Cl  0.370  0.367  0.360
Cl  0.998  0.630  0.360
Cl  0.630  0.998  0.860
Cl  0.633  0.002  0.360
Cl  0.002  0.370  0.640
Cl  0.370  0.002  0.140
Cl  0.630  0.633  0.640
Cl  0.367  0.370  0.860

No. 2
# Rb2CaCl

Crystalline Rb2CaCl at its relaxed geometry (PBE-GGA, the Alexandria database).

Summary:
As for the energy relative to the elements, uncorrected: -0.320 eV per atom. The calculation puts the spin magnetization at 0.226 μB per atom. Its density is 1.84 g/cm3.

Cell: 6.798 6.798 6.798 Å, 60.00 60.00 60.00°
Element x y z (fractional)
Ca  0.500  0.500  0.500
Rb  0.250  0.250  0.250
Rb  0.750  0.750  0.750
Cl  0.000  0.000  0.000

No. 3
# Rb5Ca3Cl12

Crystalline Rb5Ca3Cl12 at its relaxed geometry (PBE-GGA, the Alexandria database).

Summary:
As for the energy relative to the elements, uncorrected: -1.899 eV per atom. The calculation puts the spin magnetization at 0.075 μB per atom. Its density is 1.88 g/cm3.

Cell: 16.460 16.460 16.460 Å, 109.47 109.47 109.47°
Element x y z (fractional)
Ca  0.750  0.375  0.125
Ca  0.875  0.750  0.125
Ca  0.375  0.750  0.625
Ca  0.250  0.125  0.375
Ca  0.875  0.125  0.250
Ca  0.375  0.625  0.250
Ca  0.625  0.375  0.750
Ca  0.125  0.875  0.750
Ca  0.750  0.875  0.625
Ca  0.625  0.250  0.375
Ca  0.125  0.250  0.875
Ca  0.250  0.625  0.875
Rb  0.125  0.375  0.250
Rb  0.000  0.500  0.000
Rb  0.000  0.000  0.000
Rb  0.375  0.250  0.125
Rb  0.500  0.000  0.500
Rb  0.500  0.500  0.000
Rb  0.125  0.750  0.375
Rb  0.750  0.125  0.875
Rb  0.750  0.625  0.375
Rb  0.375  0.125  0.750
Rb  0.625  0.875  0.250
Rb  0.500  0.500  0.500
Rb  0.500  0.000  0.000
Rb  0.000  0.000  0.500
Rb  0.250  0.375  0.625
Rb  0.250  0.875  0.125
Rb  0.000  0.500  0.500
Rb  0.875  0.250  0.625
Rb  0.625  0.750  0.875
Rb  0.875  0.625  0.750
Cl  0.621  0.189  0.985
Cl  0.363  0.485  0.296
Cl  0.015  0.311  0.379
Cl  0.485  0.121  0.189
Cl  0.432  0.621  0.637
Cl  0.015  0.704  0.137
Cl  0.363  0.879  0.568
Cl  0.204  0.068  0.189
Cl  0.704  0.015  0.637
Cl  0.621  0.432  0.137
Cl  0.879  0.515  0.311
Cl  0.863  0.796  0.985
Cl  0.189  0.621  0.485
Cl  0.311  0.296  0.932
Cl  0.932  0.796  0.311
Cl  0.568  0.189  0.704
Cl  0.932  0.137  0.121
Cl  0.515  0.637  0.204
Cl  0.863  0.068  0.379
Cl  0.189  0.568  0.204
Cl  0.311  0.015  0.879
Cl  0.704  0.689  0.568
Cl  0.796  0.863  0.485
Cl  0.879  0.363  0.068
Cl  0.296  0.311  0.432
Cl  0.204  0.137  0.515
Cl  0.121  0.637  0.932
Cl  0.137  0.932  0.621
Cl  0.689  0.985  0.121
Cl  0.811  0.432  0.796
Cl  0.485  0.363  0.796
Cl  0.432  0.811  0.296
Cl  0.068  0.863  0.879
Cl  0.068  0.204  0.689
Cl  0.811  0.379  0.515
Cl  0.137  0.204  0.015
Cl  0.689  0.704  0.068
Cl  0.296  0.985  0.363
Cl  0.379  0.568  0.863
Cl  0.121  0.485  0.689
Cl  0.796  0.932  0.811
Cl  0.637  0.121  0.432
Cl  0.515  0.879  0.811
Cl  0.985  0.296  0.863
Cl  0.568  0.379  0.363
Cl  0.985  0.689  0.621
Cl  0.637  0.515  0.704
Cl  0.379  0.811  0.015